# 1
Below is a geometry-optimized LaNd4Ho structure, with properties calculated at the GGA-PBE level.

Cell lengths 8.2452, 8.2452, 5.1596 Å; angles 90.00, 90.00, 143.23 degrees
Atoms (fractional coordinates):
La (0.0000, 0.0000, 0.0000)
Nd (0.1664, 0.8336, 0.5000)
Nd (0.3335, 0.6665, 0.0000)
Nd (0.6665, 0.3335, 0.0000)
Nd (0.8336, 0.1664, 0.5000)
Ho (0.5000, 0.5000, 0.5000)

ΔE_f: 0.020 eV/atom
DOS at the Fermi energy: 1.67 states/eV/atom
excess energy over the best structure of this formula in the dataset: 0 meV/atom

***

# 2
Below is a geometry-optimized LaNd2Ho structure, with properties calculated at the GGA-PBE level.

Cell lengths 4.2736, 4.2736, 7.6274 Å; angles 90.00, 90.00, 90.00 degrees
Atoms (fractional coordinates):
La (0.0000, 0.0000, 0.0000)
Nd (0.5000, 0.5000, 0.2654)
Nd (0.5000, 0.5000, 0.7346)
Ho (0.0000, 0.0000, 0.5000)

ΔE_f: 0.114 eV/atom
DOS at the Fermi energy: 2.39 states/eV/atom
excess energy over the best structure of this formula in the dataset: 98 meV/atom

***

Copy entry 1 word for word.
Below is a geometry-optimized LaNd4Ho structure, with properties calculated at the GGA-PBE level.

Cell lengths 8.2452, 8.2452, 5.1596 Å; angles 90.00, 90.00, 143.23 degrees
Atoms (fractional coordinates):
La (0.0000, 0.0000, 0.0000)
Nd (0.1664, 0.8336, 0.5000)
Nd (0.3335, 0.6665, 0.0000)
Nd (0.6665, 0.3335, 0.0000)
Nd (0.8336, 0.1664, 0.5000)
Ho (0.5000, 0.5000, 0.5000)

ΔE_f: 0.020 eV/atom
DOS at the Fermi energy: 1.67 states/eV/atom
excess energy over the best structure of this formula in the dataset: 0 meV/atom

***

Repeat the first record exactly.
Below is a geometry-optimized LaNd4Ho structure, with properties calculated at the GGA-PBE level.

Cell lengths 8.2452, 8.2452, 5.1596 Å; angles 90.00, 90.00, 143.23 degrees
Atoms (fractional coordinates):
La (0.0000, 0.0000, 0.0000)
Nd (0.1664, 0.8336, 0.5000)
Nd (0.3335, 0.6665, 0.0000)
Nd (0.6665, 0.3335, 0.0000)
Nd (0.8336, 0.1664, 0.5000)
Ho (0.5000, 0.5000, 0.5000)

ΔE_f: 0.020 eV/atom
DOS at the Fermi energy: 1.67 states/eV/atom
excess energy over the best structure of this formula in the dataset: 0 meV/atom

***

> Among the records above, which one has the highest DOS at the Fermi energy?

LaNd2Ho